TlW2: relaxed, PBE-GGA.

Summary:
offset from the most stable computed form = 0.178 eV/atom
E_tot = -25.9 eV for the cell shown
M_tot = 0.000 μB/cell
volume = 55 Å³/cell
ΔH_f (0 K) = 0.7917 eV per atom

Cell and atoms, written as POSCAR:
```
TlW2
1.0
5.4325 -0.0020 0.0000
3.3545 4.2731 0.0000
-4.3935 -2.1355 2.3767
W Tl
2 1
direct
0.3143 0.3143 0.0000 W
0.6857 0.6857 0.0000 W
0.0000 0.0000 0.0000 Tl
```

Tl3W: relaxed, PBE-GGA.

Summary:
offset from the most stable computed form = 0.178 eV/atom
E_tot = -17.1 eV for the cell shown
M_tot = 0.000 μB/cell
volume = 97 Å³/cell
ΔH_f (0 K) = 0.7345 eV per atom

Cell and atoms, written as POSCAR:
```
Tl3W
1.0
11.4432 -0.0111 -0.0065
11.0125 3.1099 -0.0065
11.0125 1.5197 2.7133
Tl W
3 1
direct
0.5000 0.5000 0.5000 Tl
0.7401 0.7401 0.7401 Tl
0.2599 0.2599 0.2599 Tl
0.0000 0.0000 0.0000 W
```

TlW2: relaxed, PBE-GGA.

Summary:
offset from the most stable computed form = 0.306 eV/atom
E_tot = -51.0 eV for the cell shown
M_tot = 0.000 μB/cell
volume = 113 Å³/cell
ΔH_f (0 K) = 0.9203 eV per atom

Cell and atoms, written as POSCAR:
```
TlW2
1.0
1.6058 5.3371 -0.0670
-1.6058 5.3371 -0.0670
0.0000 1.4777 6.5979
W Tl
4 2
direct
0.9449 0.9449 0.6105 W
0.2994 0.2994 0.8867 W
0.6659 0.6659 0.6728 W
0.5907 0.5907 0.3285 W
0.0170 0.0170 0.0041 Tl
0.3156 0.3156 0.3308 Tl
```

Tl5W: relaxed, PBE-GGA.

Summary:
offset from the most stable computed form = 0.465 eV/atom
E_tot = -18.7 eV for the cell shown
M_tot = 3.991 μB/cell
volume = 177 Å³/cell
ΔH_f (0 K) = 1.0216 eV per atom

Cell and atoms, written as POSCAR:
```
Tl5W
1.0
-3.5883 -0.0184 5.1763
-2.5320 5.3728 2.0958
-6.2089 0.9486 -0.4688
W Tl
1 5
direct
0.0000 0.0000 0.0000 W
0.2500 0.2500 0.2500 Tl
0.6255 0.1235 0.6255 Tl
0.1235 0.6255 0.6255 Tl
0.6255 0.6255 0.1235 Tl
0.6255 0.6255 0.6255 Tl
```

Tl3W: relaxed, PBE-GGA.

Summary:
offset from the most stable computed form = 0.363 eV/atom
E_tot = -16.4 eV for the cell shown
M_tot = 0.000 μB/cell
volume = 159 Å³/cell
ΔH_f (0 K) = 0.9189 eV per atom

Cell and atoms, written as POSCAR:
```
Tl3W
1.0
-4.3061 -0.0703 -3.2910
-0.1598 -5.4081 0.3247
-3.2879 0.3550 4.2944
W Tl
1 3
direct
0.0000 0.0000 0.0000 W
0.5000 0.0000 0.0000 Tl
0.0000 0.0000 0.5000 Tl
0.0000 0.5000 0.0000 Tl
```

Tl3W: relaxed, PBE-GGA.

Summary:
offset from the most stable computed form = 0.434 eV/atom
E_tot = -16.1 eV for the cell shown
M_tot = 0.000 μB/cell
volume = 94 Å³/cell
ΔH_f (0 K) = 0.9905 eV per atom

Cell and atoms, written as POSCAR:
```
Tl3W
1.0
5.9701 -0.0023 -0.0076
-2.7096 5.3198 -0.0076
-2.7096 -4.4191 2.9616
Tl W
3 1
direct
0.0000 0.0000 0.0000 Tl
0.0000 0.5000 0.5000 Tl
0.5000 0.5000 0.0000 Tl
0.5000 0.0000 0.5000 W
```

Tl3W5: relaxed, PBE-GGA.

Summary:
E_tot = -125.6 eV for the cell shown
M_tot = 0.000 μB/cell
volume = 318 Å³/cell
ΔH_f (0 K) = 1.1309 eV per atom

Cell and atoms, written as POSCAR:
```
Tl3W5
1.0
8.5610 0.0000 0.0000
-4.2805 7.4140 0.0000
0.0000 0.0000 5.0137
W Tl
10 6
direct
0.1753 0.1753 0.7500 W
0.0000 0.8247 0.7500 W
0.3333 0.6667 0.0000 W
0.8247 0.8247 0.2500 W
0.6667 0.3333 0.0000 W
0.8247 0.0000 0.7500 W
0.0000 0.1753 0.2500 W
0.1753 0.0000 0.2500 W
0.3333 0.6667 0.5000 W
0.6667 0.3333 0.5000 W
0.6046 0.0000 0.2500 Tl
0.6046 0.6046 0.7500 Tl
0.0000 0.6046 0.2500 Tl
0.0000 0.3954 0.7500 Tl
0.3954 0.3954 0.2500 Tl
0.3954 0.0000 0.7500 Tl
```

TlW2: relaxed, PBE-GGA.

Summary:
offset from the most stable computed form = 0.308 eV/atom
E_tot = -25.5 eV for the cell shown
M_tot = 0.000 μB/cell
volume = 54 Å³/cell
ΔH_f (0 K) = 0.9223 eV per atom

Cell and atoms, written as POSCAR:
```
TlW2
1.0
5.0855 -0.0120 0.0038
2.4456 4.4589 -0.0038
-3.2289 -3.1322 2.3718
Tl W
1 2
direct
0.0000 0.0000 0.0000 Tl
0.6703 0.6703 0.0000 W
0.3297 0.3297 0.0000 W
```